Computed, not measured: a PBEsol-optimized structure of Cd8Ni at the SCAN level of DFT.

Calculated values
Density, g/cm³: 9.27
DFT total energy, eV per cell: -258.75
Energy of formation, eV per atom: 0.08
Space group: I4/mmm
D(E_F), states/eV/cell: 3.1
Size of the total moment, μB per atom: 0.000
Crystal system: tetragonal

The structure in extended XYZ format:
```
9
Lattice="-4.543 4.543 2.080 4.543 -4.543 2.080 4.543 4.543 -2.080" Properties=species:S:1:pos:R:3 pbc="T T T"
Cd 2.960 0.000 0.000
Cd 6.126 0.000 0.000
Cd 0.000 2.960 0.000
Cd 3.102 3.102 0.000
Cd 1.440 -1.440 2.080
Cd -1.440 1.440 2.080
Cd 1.440 1.440 2.080
Cd 0.000 6.126 0.000
Ni 0.000 0.000 0.000
```